(1)
## LiNdAs2Pt4 (PBE)

Data for a geometry-optimized LiNdAs2Pt4 structure.

POSCAR file:
```
LiNdAs2Pt4
1.0
4.016 0.000 0.000
0.000 4.016 0.000
0.000 0.000 10.402
Li Nd As Pt
1 1 2 4
Direct
0.000 0.000 0.500
0.000 0.000 0.000
0.500 0.500 0.358
0.500 0.500 0.642
0.000 0.500 0.218
0.500 0.000 0.782
0.500 0.000 0.218
0.000 0.500 0.782
```

The calculation puts the total energy at -44.62 eV/cell. As for the crystal system: tetragonal. The symmetry is No. 123.


(2)
## CsCaBi (PBE)

Data for a geometry-optimized CsCaBi structure.

POSCAR file:
```
CsCaBi
1.0
6.078 0.000 0.000
0.000 5.424 0.000
0.000 -2.712 4.697
Cs Ca Bi
1 1 1
Direct
0.668 0.667 0.333
0.167 0.333 0.667
0.165 0.000 0.000
```

The calculation puts the total energy at -8.23 eV/cell. As for the crystal system: trigonal. The symmetry is No. 156.